# Tl2WO6 (PBE+U, optimized geometry)
# - VASP energy (eV/atom) = -5.80
# - theoretical density (g/cm3) = 8.20
data_Tl2WO6
_chemical_formula_sum 'Tl4 W2 O12'
_space_group_name_H-M_alt 'P n n m'
_space_group_IT_number 58
_cell_length_a 5.474
_cell_length_b 5.662
_cell_length_c 9.003
_cell_angle_alpha 90.00
_cell_angle_beta 90.00
_cell_angle_gamma 90.00
loop_
_space_group_symop_operation_xyz
'x,y,z'
'-x,-y,-z'
'-x,-y,z'
'x,y,-z'
'x+1/2,-y+1/2,-z+1/2'
'-x+1/2,y+1/2,z+1/2'
'-x+1/2,y+1/2,-z+1/2'
'x+1/2,-y+1/2,z+1/2'
loop_
_atom_site_label
_atom_site_fract_x
_atom_site_fract_y
_atom_site_fract_z
_atom_site_occupancy
Tl1 0.000 0.000 0.206 1
W1 0.000 0.500 0.000 1
O1 0.174 0.205 0.000 1
O2 0.207 0.642 0.156 1